[1]
Computed, not measured: a geometry-optimized Cu2Ag3 structure at the PBE-GGA level of DFT.

The value obtained for the distance to the lowest polymorph of the same formula is 0.262 eV per formula unit. For the formation energy, the calculation gives 0.0847 eV per atom. For the calculated volume, the calculation gives 156 Å³ per cell.

Unit cell a=6.067 b=6.067 c=9.394 alpha=99.95 beta=99.95 gamma=27.26
Atoms (fractional coordinates):
Cu 0.000 0.000 0.000
Cu 0.089 0.089 0.275
Cu 0.197 0.197 0.584
Cu 0.409 0.409 0.184
Ag 0.309 0.309 0.897
Ag 0.507 0.507 0.475
Ag 0.599 0.599 0.788
Ag 0.696 0.696 0.091
Ag 0.790 0.790 0.381
Ag 0.892 0.892 0.678



[2]
Computed, not measured: a geometry-optimized Ta2Cu3Mo4C3 structure at the PBE-GGA level of DFT.

The total energy is -8.855 eV per atom. The value obtained for the total magnetization is 0.00 μB/f.u. For the calculated volume, the calculation gives 318 Å³ per cell.

Unit cell a=5.332 b=5.332 c=13.279 alpha=101.58 beta=101.58 gamma=60.03
Atoms (fractional coordinates):
Ta 0.034 0.866 0.603
Ta 0.134 0.966 0.897
Ta 0.866 0.034 0.103
Ta 0.966 0.134 0.397
Cu 0.083 0.330 0.750
Cu 0.330 0.083 0.250
Cu 0.496 0.504 0.750
Cu 0.504 0.496 0.250
Cu 0.670 0.917 0.750
Cu 0.917 0.670 0.250
Mo 0.194 0.362 0.084
Mo 0.306 0.472 0.416
Mo 0.362 0.194 0.584
Mo 0.472 0.306 0.916
Mo 0.528 0.694 0.084
Mo 0.638 0.806 0.416
Mo 0.694 0.528 0.584
Mo 0.806 0.638 0.916
C 0.000 0.500 0.500
C 0.159 0.681 0.000
C 0.319 0.841 0.500
C 0.500 0.000 0.000
C 0.681 0.159 0.500
C 0.841 0.319 0.000



[3]
Computed, not measured: a geometry-optimized Cu2Ag3 structure at the PBE-GGA level of DFT.

The value obtained for the distance to the lowest polymorph of the same formula is 0.293 eV per formula unit. For the formation energy, the calculation gives 0.0909 eV per atom. For the calculated volume, the calculation gives 156 Å³ per cell.

Unit cell a=7.379 b=7.379 c=5.634 alpha=100.35 beta=100.35 gamma=31.11
Atoms (fractional coordinates):
Cu 0.000 0.000 0.000
Cu 0.404 0.404 0.715
Cu 0.592 0.592 0.812
Cu 0.802 0.802 0.413
Ag 0.196 0.196 0.098
Ag 0.204 0.204 0.605
Ag 0.399 0.399 0.212
Ag 0.598 0.598 0.304
Ag 0.805 0.805 0.900
Ag 0.997 0.997 0.526



[4]
Computed, not measured: a geometry-optimized Hf2CoHg structure at the PBE-GGA level of DFT.

The value obtained for the total magnetization is 0.99 μB/f.u. For the formation energy, the calculation gives 0.2306 eV per atom. For the calculated volume, the calculation gives 72 Å³ per cell.

Unit cell a=4.669 b=4.669 c=4.669 alpha=60.00 beta=60.00 gamma=60.00
Atoms (fractional coordinates):
Hf 0.000 0.000 0.000
Hf 0.250 0.250 0.250
Co 0.750 0.750 0.750
Hg 0.500 0.500 0.500



[5]
Computed, not measured: a geometry-optimized Tm2Ga structure at the PBE-GGA level of DFT.

The total energy is -3.670 eV per atom. The value obtained for the total magnetization is 0.00 μB/f.u. For the calculated volume, the calculation gives 161 Å³ per cell.

Unit cell a=6.103 b=6.103 c=6.103 alpha=60.00 beta=60.00 gamma=60.00
Atoms (fractional coordinates):
Tm 0.000 0.000 0.000
Tm 0.000 0.000 0.500
Tm 0.000 0.500 0.000
Tm 0.500 0.000 0.000
Ga 0.375 0.375 0.375
Ga 0.625 0.625 0.625



[6]
Computed, not measured: a geometry-optimized PaAgB structure at the PBE-GGA level of DFT.

The value obtained for the distance to the lowest polymorph of the same formula is 0.000 eV per formula unit. The value obtained for the total magnetization is 0.94 μB/f.u. For the calculated volume, the calculation gives 56 Å³ per cell.

Unit cell a=4.302 b=4.302 c=4.302 alpha=60.00 beta=60.00 gamma=60.00
Atoms (fractional coordinates):
Pa 0.000 0.000 0.000
Ag 0.500 0.500 0.500
B 0.750 0.750 0.750



[7]
Computed, not measured: a geometry-optimized SrPdNO structure at the PBE-GGA level of DFT.

The value obtained for the distance to the lowest polymorph of the same formula is 0.029 eV per formula unit. For the calculated volume, the calculation gives 125 Å³ per cell.

Unit cell a=3.715 b=5.771 c=5.813 alpha=90.00 beta=90.00 gamma=90.00
Atoms (fractional coordinates):
Sr 0.000 0.168 0.000
Sr 0.000 0.832 0.500
Pd 0.500 0.330 0.507
Pd 0.500 0.670 0.007
N 0.000 0.360 0.535
N 0.000 0.640 0.035
O 0.500 0.049 0.272
O 0.500 0.951 0.772



[8]
Computed, not measured: a geometry-optimized MgScCoB structure at the PBE-GGA level of DFT.

The value obtained for the distance to the lowest polymorph of the same formula is 0.681 eV per formula unit. The value obtained for the total magnetization is 0.08 μB/f.u. For the calculated volume, the calculation gives 51 Å³ per cell.

Unit cell a=4.159 b=4.159 c=4.159 alpha=60.00 beta=60.00 gamma=60.00
Atoms (fractional coordinates):
Mg 0.000 0.000 0.000
Sc 0.750 0.750 0.750
Co 0.500 0.500 0.500
B 0.250 0.250 0.250